## Er2TmZr (PBE-GGA)

Data for a geometry-optimized Er2TmZr structure.

a b c (Å): 4.819 4.819 4.812
angles (deg): 90.00 90.00 90.00
Space group P4/mmm (No. 123)
Symmetry-distinct sites (fractional):
Er (0.000, 0.500, 0.000) [2 per cell]
Tm (0.000, 0.000, 0.500) [1 per cell]
Zr (0.500, 0.500, 0.500) [1 per cell]

* polymorph energy (0 for the lowest one): 0.0244 eV per atom
* DOS(E_F): 5.60 states/eV/cell

## ErTmZr (PBE-GGA)

Data for a geometry-optimized ErTmZr structure.

a b c (Å): 3.380 3.380 14.501
angles (deg): 90.00 90.00 90.00
Space group I4mm (No. 107)
Symmetry-distinct sites (fractional):
Er (0.000, 0.000, 0.000) [2 per cell]
Tm (0.000, 0.000, 0.313) [2 per cell]
Zr (0.000, 0.000, 0.657) [2 per cell]

* polymorph energy (0 for the lowest one): 0.0320 eV per atom
* DOS(E_F): 8.81 states/eV/cell

## Er4Tm10Zr (PBE-GGA)

Data for a geometry-optimized Er4Tm10Zr structure.

a b c (Å): 11.028 11.028 7.608
angles (deg): 90.00 90.00 90.00
Space group I4/mmm (No. 139)
Symmetry-distinct sites (fractional):
Er (0.229, 0.229, 0.000) [8 per cell]
Tm (0.000, 0.208, 0.288) [16 per cell]
Tm (0.000, 0.500, 0.250) [4 per cell]
Zr (0.000, 0.000, 0.000) [2 per cell]

* DOS(E_F): 39.11 states/eV/cell

## Er3Tm6Zr (PBE-GGA)

Data for a geometry-optimized Er3Tm6Zr structure.

a b c (Å): 10.773 18.530 6.032
angles (deg): 90.00 90.00 90.00
Space group Cmc2_1 (No. 36)
Symmetry-distinct sites (fractional):
Er (0.000, 0.113, 0.000) [4 per cell]
Er (0.169, 0.388, 0.621) [8 per cell]
Tm (0.000, 0.225, 0.416) [4 per cell]
Tm (0.000, 0.448, 0.143) [4 per cell]
Tm (0.162, 0.044, 0.532) [8 per cell]
Tm (0.249, 0.208, 0.689) [8 per cell]
Zr (0.000, 0.290, 0.910) [4 per cell]

* polymorph energy (0 for the lowest one): 0.0000 eV per atom
* DOS(E_F): 52.99 states/eV/cell

Electronic total energy list, top to bottom, in eV/cell: -21.83 -34.79 -135.67 -190.45
Energy of formation list, top to bottom, in eV per formula unit: 0.32 0.19 3.68 1.45